Computed, not measured: crystalline Ho2P4Rh3 at its relaxed geometry at the GGA-PBE level of DFT.

Summary:
The total energy comes out at -123.5 eV for the cell shown. The energy relative to the elements comes out at -0.990 eV/atom. As for the space-group type: Cmce, No. 64.

Cell: 7.704 7.704 7.163 Å, 90.00 90.00 137.76°
Fractional coordinates of all 18 atoms:
Ho (0.111, 0.889, 0.916)
Ho (0.389, 0.611, 0.416)
Ho (0.611, 0.389, 0.584)
Ho (0.889, 0.111, 0.084)
P (0.185, 0.815, 0.538)
P (0.198, 0.302, 0.750)
P (0.302, 0.198, 0.250)
P (0.315, 0.685, 0.038)
P (0.685, 0.315, 0.962)
P (0.698, 0.802, 0.750)
P (0.802, 0.698, 0.250)
P (0.815, 0.185, 0.462)
Rh (0.000, 0.000, 0.500)
Rh (0.032, 0.468, 0.750)
Rh (0.468, 0.032, 0.250)
Rh (0.500, 0.500, 0.000)
Rh (0.532, 0.968, 0.750)
Rh (0.968, 0.532, 0.250)